Model w:
The following is a PBE calculation of Si2Tc2Ni after structural relaxation, from the Alexandria database.

## Properties
- calculated density (g/cm3) = 7.5
- space-group type = No. 127

a b c (Å): 6.6873 6.6873 3.0988
angles (deg): 90.00 90.00 90.00
Last column: nearest neighbours and their distance in Å.
Positions (direct):
Ni 0.0000 0.0000 0.0000  4 Tc 2.56
Ni 0.5000 0.5000 0.0000  4 Tc 2.56
Tc 0.8540 0.6460 0.0000  6 Si 2.47-2.52, 2 Ni 2.56, 1 Tc 2.76
Tc 0.3540 0.8540 0.0000  6 Si 2.47-2.52, 2 Ni 2.56, 1 Tc 2.76
Tc 0.6460 0.1460 0.0000  6 Si 2.47-2.52, 2 Ni 2.56, 1 Tc 2.76
Tc 0.1460 0.3540 0.0000  6 Si 2.47-2.52, 2 Ni 2.56, 1 Tc 2.76
Si 0.3490 0.1510 0.5000  6 Tc 2.47-2.52
Si 0.1510 0.6510 0.5000  6 Tc 2.47-2.52
Si 0.6510 0.8490 0.5000  6 Tc 2.47-2.52
Si 0.8490 0.3490 0.5000  6 Tc 2.47-2.52

---

Model x:
The following is a PBE calculation of Si2Tc2Ni after structural relaxation, from the Alexandria database.

## Properties
- calculated density (g/cm3) = 8.0
- space-group type = No. 127

a b c (Å): 5.9008 5.9008 3.6934
angles (deg): 90.00 90.00 90.00
Last column: nearest neighbours and their distance in Å.
Positions (direct):
Tc 0.1702 0.6702 0.5000  6 Si 2.43-2.61
Tc 0.3298 0.1702 0.5000  6 Si 2.43-2.61
Tc 0.6702 0.8298 0.5000  6 Si 2.43-2.61
Tc 0.8298 0.3298 0.5000  6 Si 2.43-2.61
Ni 0.0000 0.0000 0.0000  4 Si 2.28
Ni 0.5000 0.5000 0.0000  4 Si 2.28
Si 0.6403 0.1403 0.0000  2 Ni 2.28, 1 Si 2.34, 2 Tc 2.43
Si 0.1403 0.3597 0.0000  2 Ni 2.28, 1 Si 2.34, 2 Tc 2.43
Si 0.3597 0.8597 0.0000  2 Ni 2.28, 1 Si 2.34, 2 Tc 2.43
Si 0.8597 0.6403 0.0000  2 Ni 2.28, 1 Si 2.34, 2 Tc 2.43

---

Which one sits at the top of the stability order? model x does.

---

Model w:
The following is a PBE calculation of SiTc3Ni after structural relaxation, from the Alexandria database.

## Properties
- calculated density (g/cm3) = 7.7
- space-group type = No. 221

a b c (Å): 4.3540 4.3540 4.3540
angles (deg): 90.00 90.00 90.00
Last column: nearest neighbours and their distance in Å.
Positions (direct):
Tc 0.0000 0.0000 0.5000  2 Si 2.18
Tc 0.0000 0.5000 0.0000  2 Si 2.18
Tc 0.5000 0.0000 0.0000  2 Si 2.18
Si 0.0000 0.0000 0.0000  6 Tc 2.18
Ni 0.5000 0.5000 0.5000  12 Tc 3.08

---

Model x:
The following is a PBE calculation of SiTc3Ni after structural relaxation, from the Alexandria database.

## Properties
- calculated density (g/cm3) = 7.3
- space-group type = No. 221

a b c (Å): 4.4145 4.4145 4.4145
angles (deg): 90.00 90.00 90.00
Last column: nearest neighbours and their distance in Å.
Positions (direct):
Tc 0.0000 0.0000 0.5000  2 Ni 2.21
Tc 0.0000 0.5000 0.0000  2 Ni 2.21
Tc 0.5000 0.0000 0.0000  2 Ni 2.21
Si 0.5000 0.5000 0.5000  12 Tc 3.12
Ni 0.0000 0.0000 0.0000  6 Tc 2.21

---

Which one sits at the top of the stability order? model w does.

---

Model w:
The following is a PBE calculation of Si2Ni2Te after structural relaxation, from the Alexandria database.

## Properties
- calculated density (g/cm3) = 6.6
- space-group type = No. 139

a b c (Å): 3.6581 3.6581 6.1937
angles (deg): 72.82 72.82 90.00
Last column: nearest neighbours and their distance in Å.
Positions (direct):
Ni 0.3796 0.3796 0.2408  4 Si 2.34
Ni 0.6204 0.6204 0.7592  4 Si 2.34
Te 0.0000 0.0000 0.0000  8 Ni 2.92
Si 0.7500 0.2500 0.5000  4 Ni 2.34, 4 Si 2.59
Si 0.2500 0.7500 0.5000  4 Ni 2.34, 4 Si 2.59

---

Model x:
The following is a PBE calculation of Si2Ni2Te after structural relaxation, from the Alexandria database.

## Properties
- calculated density (g/cm3) = 6.6
- space-group type = No. 127

a b c (Å): 7.1674 7.1674 2.9390
angles (deg): 90.00 90.00 90.00
Last column: nearest neighbours and their distance in Å.
Positions (direct):
Te 0.0000 0.0000 0.0000  4 Ni 2.80, 2 Te 2.94
Te 0.5000 0.5000 0.0000  4 Ni 2.80, 2 Te 2.94
Ni 0.6332 0.1332 0.0000  4 Si 2.42, 1 Ni 2.70
Ni 0.1332 0.3668 0.0000  4 Si 2.42, 1 Ni 2.70
Ni 0.3668 0.8668 0.0000  4 Si 2.42, 1 Ni 2.70
Ni 0.8668 0.6332 0.0000  4 Si 2.42, 1 Ni 2.70
Si 0.1353 0.6353 0.5000  4 Ni 2.42
Si 0.3647 0.1353 0.5000  4 Ni 2.42
Si 0.8647 0.3647 0.5000  4 Ni 2.42
Si 0.6353 0.8647 0.5000  4 Ni 2.42

---

Which one sits at the top of the stability order? model w does.

---

Model w:
The following is a PBE calculation of Si2NiTe2 after structural relaxation, from the Alexandria database.

## Properties
- calculated density (g/cm3) = 6.1
- space-group type = No. 139

a b c (Å): 3.4452 3.4452 8.8434
angles (deg): 78.77 78.77 90.00
Last column: nearest neighbours and their distance in Å.
Positions (direct):
Si 0.2500 0.7500 0.5000  4 Si 2.44
Si 0.7500 0.2500 0.5000  4 Si 2.44
Ni 0.0000 0.0000 0.0000  8 Te 2.87
Te 0.5897 0.5897 0.8206  4 Ni 2.87, 1 Te 3.05
Te 0.4103 0.4103 0.1794  4 Ni 2.87, 1 Te 3.05

---

Model x:
The following is a PBE calculation of Si2NiTe2 after structural relaxation, from the Alexandria database.

## Properties
- calculated density (g/cm3) = 5.6
- space-group type = No. 127

a b c (Å): 7.3118 7.3118 4.0973
angles (deg): 90.00 90.00 90.00
Last column: nearest neighbours and their distance in Å.
Positions (direct):
Si 0.6178 0.8822 0.5000  1 Si 2.44
Si 0.8822 0.3822 0.5000  1 Si 2.44
Si 0.3822 0.1178 0.5000  1 Si 2.44
Si 0.1178 0.6178 0.5000  1 Si 2.44
Ni 0.5000 0.5000 0.0000  4 Te 2.64
Ni 0.0000 0.0000 0.0000  4 Te 2.64
Te 0.8034 0.6966 0.0000  2 Ni 2.64, 2 Si 2.81
Te 0.1966 0.3034 0.0000  2 Ni 2.64, 2 Si 2.81
Te 0.3034 0.8034 0.0000  2 Ni 2.64, 2 Si 2.81
Te 0.6966 0.1966 0.0000  2 Ni 2.64, 2 Si 2.81

---

Which one sits at the top of the stability order? model w does.

---

Model w:
The following is a PBE calculation of SiNiTe3 after structural relaxation, from the Alexandria database.

## Properties
- calculated density (g/cm3) = 5.5
- space-group type = No. 221

a b c (Å): 5.2185 5.2185 5.2185
angles (deg): 90.00 90.00 90.00
Last column: nearest neighbours and their distance in Å.
Positions (direct):
Te 0.5000 0.0000 0.0000  2 Si 2.61
Te 0.0000 0.5000 0.0000  2 Si 2.61
Te 0.0000 0.0000 0.5000  2 Si 2.61
Ni 0.5000 0.5000 0.5000  12 Te 3.69
Si 0.0000 0.0000 0.0000  6 Te 2.61

---

Model x:
The following is a PBE calculation of SiNiTe3 after structural relaxation, from the Alexandria database.

## Properties
- calculated density (g/cm3) = 6.2
- space-group type = No. 221

a b c (Å): 5.0056 5.0056 5.0056
angles (deg): 90.00 90.00 90.00
Last column: nearest neighbours and their distance in Å.
Positions (direct):
Si 0.5000 0.5000 0.5000  12 Te 3.54
Te 0.0000 0.5000 0.0000  2 Ni 2.50
Te 0.0000 0.0000 0.5000  2 Ni 2.50
Te 0.5000 0.0000 0.0000  2 Ni 2.50
Ni 0.0000 0.0000 0.0000  6 Te 2.50

---

Which one sits at the top of the stability order? model x does.